The following is a DFT calculation (PBE) of a relaxed structure of LaZnRe3.

The structure belongs to space group Pm-3m (No. 221); the cell edges are 4.8395, 4.8395 and 4.8395 Å and the angles 90.00°, 90.00° and 90.00°. The inequivalent atoms are La at (0.0000, 0.0000, 0.0000), Zn at (0.5000, 0.5000, 0.5000) and Re at (0.0000, 0.0000, 0.5000).

The calculated formation energy comes out at 3047 meV per atom. The total magnetization comes out at 0.00 μB per formula unit. Its excess energy over the best structure of this formula in the dataset is 144.88 kJ per mole of atoms. The total energy is -5.6625 eV per atom. Its calculated volume is 113 Å³/cell.

=====

The following is a DFT calculation (PBE) of a relaxed structure of K3AgAu4.

The structure belongs to space group C2/m (No. 12); the cell edges are 9.8018, 8.1915 and 8.1556 Å and the angles 90.00°, 122.11° and 90.00°. The inequivalent atoms are K at (0.0000, 0.0000, 0.0000), K at (0.2321, 0.5000, 0.2902), Ag at (0.0000, 0.5000, 0.5000) and Au at (0.1373, 0.3279, 0.8382).

The calculated formation energy comes out at -182 meV per atom. The total magnetization comes out at 0.00 μB per formula unit. The total energy is -2.5888 eV per atom. Its calculated volume is 555 Å³/cell.